Here is a relaxed Tm4IrOs crystal from Alexandria via LeMat-Bulk. Energies are from GGA-PBE.

Geometry as CIF:
```
data_Tm4IrOs
_chemical_formula_sum 'Tm8 Ir2 Os2'
_cell_length_a 6.7590
_cell_length_b 6.7575
_cell_length_c 6.7572
_cell_angle_alpha 90.00
_cell_angle_beta 90.14
_cell_angle_gamma 90.00
_space_group_name_H-M_alt 'P 1 21/c 1'
_space_group_IT_number 14
loop_
_space_group_symop_operation_xyz
'x,y,z'
'-x,-y,-z'
'-x,y+1/2,-z+1/2'
'x,-y+1/2,z+1/2'
loop_
_atom_site_label
_atom_site_type_symbol
_atom_site_fract_x
_atom_site_fract_y
_atom_site_fract_z
Tm1 Tm 0.1722 0.1740 0.1745
Tm2 Tm 0.3227 0.6751 0.1745
Ir1 Ir 0.5000 0.0000 0.0000
Os1 Os 0.0000 0.0000 0.5000
```

The calculation puts the polymorph energy (0 for the lowest one) at 0.115 eV/atom. The calculated volume is 309 Å³/cell. The energy of formation from the pure elements comes out at -451 meV per atom. The calculation puts the density of states at the Fermi level at 5.23 states/eV per cell.